La3Nd3Tl (PBE, optimized geometry); crystal system = monoclinic; energy of formation = -0.65 eV per formula unit; SG = P2_1/m, No. 11
1.0
5.821 0.000 0.000
0.000 9.685 -0.009
0.000 -4.842 8.387
La Nd Tl
6 6 2
Direct
0.250 0.519 0.630
0.250 0.111 0.481
0.250 0.369 0.889
0.750 0.481 0.370
0.750 0.889 0.519
0.750 0.631 0.111
0.750 0.756 0.820
0.750 0.064 0.245
0.750 0.180 0.936
0.250 0.244 0.180
0.250 0.936 0.755
0.250 0.820 0.064
0.750 0.333 0.667
0.250 0.667 0.333